Entry 1:
CsTaSbS6 | PBE | optimized geometry

Calculated values
energy relative to the elements, uncorrected	-0.6338	eV/atom
mass density	3.4	g/cm3
final energy	-5.26	eV/atom
SG	P1, No. 1

Unit cell a=7.336 b=6.790 c=7.685 alpha=93.47 beta=88.03 gamma=53.28
Element x y z (fractional)
S: 0.404 0.015 0.691
S: 0.733 0.770 0.753
S: 0.459 0.576 0.269
S: 0.697 0.920 0.309
S: 0.043 0.319 0.365
S: 0.587 0.429 0.682
Ta: 0.674 0.627 0.466
Cs: 0.995 0.026 0.992
Sb: 0.407 0.317 0.471

---

Entry 2:
Ca2Pr2Pd3 | PBE | optimized geometry

Calculated values
formation enthalpy at 0 K	-0.620	eV per atom
offset from the most stable computed form	0.0	meV per atom
mass density	6.1	g/cm3
final energy	-4.78	eV/atom
SG	C2/m, No. 12

Unit cell a=5.119 b=5.096 c=8.667 alpha=89.96 beta=107.13 gamma=119.86
Element x y z (fractional)
Pd: 0.510 0.256 0.764
Pd: 0.490 0.744 0.236
Pd: 0.000 0.000 0.000
Pr: 0.756 0.378 0.134
Pr: 0.244 0.622 0.866
Ca: 0.746 0.873 0.618
Ca: 0.254 0.127 0.382

---

Entry 3:
YZr2Zn | PBE | optimized geometry

Calculated values
formation enthalpy at 0 K	-0.004	eV per atom
mass density	6.2	g/cm3
final energy	-6.21	eV/atom
SG	I-4m2, No. 119

Unit cell a=5.522 b=5.522 c=5.522 alpha=132.43 beta=132.43 gamma=69.55
Element x y z (fractional)
Y: 0.500 0.500 0.000
Zn: 0.750 0.250 0.500
Zr: 0.000 0.000 0.000
Zr: 0.250 0.750 0.500

---

Entry 4:
Zr5CdPd | PBE | optimized geometry

Calculated values
formation enthalpy at 0 K	0.064	eV per atom
mass density	7.1	g/cm3
final energy	-6.91	eV/atom
SG	C2/c, No. 15

Unit cell a=5.970 b=5.970 c=11.690 alpha=65.56 beta=65.56 gamma=59.73
Element x y z (fractional)
Zr: 0.326 0.314 0.016
Zr: 0.686 0.674 0.484
Zr: 0.659 0.861 0.207
Zr: 0.341 0.139 0.793
Zr: 0.139 0.341 0.293
Zr: 0.178 0.822 0.250
Zr: 0.674 0.686 0.984
Zr: 0.822 0.178 0.750
Zr: 0.314 0.326 0.516
Zr: 0.861 0.659 0.707
Pd: 0.000 0.000 0.500
Pd: 0.000 0.000 0.000
Cd: 0.690 0.310 0.250
Cd: 0.310 0.690 0.750

---

Entry 5:
Tb2EuIn | PBE | optimized geometry

Calculated values
formation enthalpy at 0 K	-0.178	eV per atom
offset from the most stable computed form	37.5	meV per atom
mass density	7.7	g/cm3
final energy	-5.75	eV/atom
SG	P4/mmm, No. 123

Unit cell a=3.666 b=3.666 c=9.420 alpha=90.00 beta=90.00 gamma=90.00
Element x y z (fractional)
Tb: 0.000 0.000 0.211
Tb: 0.000 0.000 0.789
Eu: 0.500 0.500 0.500
In: 0.500 0.500 0.000

---

Entry 6:
LiTaTcOs2 | PBE | optimized geometry

Calculated values
formation enthalpy at 0 K	2.156	eV per atom
mass density	11.5	g/cm3
final energy	-7.16	eV/atom
SG	P4/mmm, No. 123

Unit cell a=4.669 b=4.400 c=4.669 alpha=90.00 beta=90.00 gamma=90.00
Element x y z (fractional)
Ta: 0.000 0.000 0.000
Os: 0.000 0.000 0.500
Os: 0.500 0.000 0.000
Tc: 0.500 0.500 0.500
Li: 0.000 0.500 0.000

---

Entry 7:
Ta3MoSe | PBE | optimized geometry

Calculated values
energy relative to the elements, uncorrected	1.1172	eV/atom
offset from the most stable computed form	0.0	meV per atom
mass density	11.7	g/cm3
final energy	-8.86	eV/atom
SG	Pm-3m, No. 221

Unit cell a=4.668 b=4.668 c=4.668 alpha=90.00 beta=90.00 gamma=90.00
Element x y z (fractional)
Ta: 0.500 0.000 0.000
Ta: 0.000 0.500 0.000
Ta: 0.000 0.000 0.500
Se: 0.000 0.000 0.000
Mo: 0.500 0.500 0.500

---

Entry 8:
Pa2Al8Mo | PBE | optimized geometry

Calculated values
formation enthalpy at 0 K	-0.180	eV per atom
mass density	6.0	g/cm3
final energy	-5.61	eV/atom
SG	P4/mmm, No. 123

Unit cell a=4.343 b=4.343 c=11.416 alpha=90.00 beta=90.00 gamma=90.00
Element x y z (fractional)
Al: 0.500 0.000 0.500
Al: 0.000 0.500 0.500
Al: 0.500 0.500 0.687
Al: 0.500 0.500 0.313
Al: 0.000 0.500 0.124
Al: 0.500 0.000 0.876
Al: 0.500 0.000 0.124
Al: 0.000 0.500 0.876
Pa: 0.000 0.000 0.310
Pa: 0.000 0.000 0.690
Mo: 0.000 0.000 0.000